(1)
{"formula": "RbLa4I8", "functional": "PBE-GGA", "state": "optimized geometry", "magmom_total_mub_per_atom": 0.1274, "raw_formation_energy_ev_per_fu": -17.508, "volume_a3_per_atom": 47.16, "energy_ev_per_atom": -3.891, "cell": [[7.420, -0.001, -4.003], [-4.789, 6.938, 0.000], [1.144, 0.791, 10.998]], "species": ["Rb", "La", "La", "La", "La", "I", "I", "I", "I", "I", "I", "I", "I"], "frac_coords": [[0.000, 0.500, 0.500], [0.000, 0.000, 0.000], [0.000, 0.500, 0.000], [0.500, 0.500, 0.000], [0.500, 0.000, 0.000], [0.479, 0.739, 0.218], [0.521, 0.261, 0.782], [0.478, 0.239, 0.221], [0.018, 0.257, 0.779], [0.522, 0.761, 0.779], [0.018, 0.761, 0.779], [0.982, 0.239, 0.221], [0.982, 0.743, 0.221]]}

***

(2)
{"formula": "Rb3LaI", "functional": "PBE-GGA", "state": "optimized geometry", "magmom_total_mub_per_atom": 0.6368, "raw_formation_energy_ev_per_fu": 2.040, "volume_a3_per_atom": 80.13, "energy_ev_per_atom": -1.468, "cell": [[-2.871, -6.011, 3.159], [3.315, 1.752, 6.347], [-5.926, 3.893, 2.021]], "species": ["I", "Rb", "Rb", "Rb", "La"], "frac_coords": [[0.500, 0.500, 0.500], [0.000, 0.500, 0.000], [0.000, 0.000, 0.500], [0.500, 0.000, 0.000], [0.000, 0.000, 0.000]]}

***

(3)
{"formula": "RbLa3I8", "functional": "PBE-GGA", "state": "optimized geometry", "magmom_total_mub_per_atom": 0.1841, "raw_formation_energy_ev_per_fu": -16.726, "volume_a3_per_atom": 49.75, "energy_ev_per_atom": -3.740, "cell": [[9.369, 0.000, 0.000], [-4.684, 6.645, -4.660], [0.000, -0.017, 9.602]], "species": ["Rb", "La", "La", "La", "I", "I", "I", "I", "I", "I", "I", "I"], "frac_coords": [[0.000, 0.000, 0.000], [0.500, 0.000, 0.000], [0.500, 0.500, 0.000], [0.000, 0.500, 0.000], [0.252, 0.504, 0.761], [0.748, 0.496, 0.239], [0.278, 0.013, 0.754], [0.735, 0.013, 0.754], [0.735, 0.470, 0.754], [0.265, 0.530, 0.246], [0.265, 0.987, 0.246], [0.722, 0.987, 0.246]]}

***

(4)
{"formula": "Rb3LaI8", "functional": "PBE-GGA", "state": "optimized geometry", "magmom_total_mub_per_atom": 0.0000, "raw_formation_energy_ev_per_fu": -13.598, "volume_a3_per_atom": 50.34, "energy_ev_per_atom": -2.819, "cell": [[-0.925, 8.083, 1.271], [-6.469, -1.506, 4.867], [9.117, -3.777, 3.984]], "species": ["Rb", "Rb", "Rb", "La", "I", "I", "I", "I", "I", "I", "I", "I"], "frac_coords": [[0.750, 0.250, 0.500], [0.500, 0.500, 0.000], [0.250, 0.750, 0.500], [0.000, 0.000, 0.000], [0.342, 0.342, 0.225], [0.342, 0.883, 0.225], [0.117, 0.658, 0.775], [0.117, 0.117, 0.775], [0.883, 0.883, 0.225], [0.883, 0.342, 0.225], [0.658, 0.117, 0.775], [0.658, 0.658, 0.775]]}

***

(5)
{"formula": "Rb5La3I12", "functional": "PBE-GGA", "state": "optimized geometry", "magmom_total_mub_per_atom": 0.1029, "raw_formation_energy_ev_per_fu": -26.099, "volume_a3_per_atom": 59.22, "energy_ev_per_atom": -3.216, "cell": [[18.325, 0.000, 0.000], [-6.108, 17.277, 0.000], [-6.108, -8.639, 14.963]], "species": ["La", "La", "La", "La", "La", "La", "La", "La", "La", "La", "La", "La", "Rb", "Rb", "Rb", "Rb", "Rb", "Rb", "Rb", "Rb", "Rb", "Rb", "Rb", "Rb", "Rb", "Rb", "Rb", "Rb", "Rb", "Rb", "Rb", "Rb", "I", "I", "I", "I", "I", "I", "I", "I", "I", "I", "I", "I", "I", "I", "I", "I", "I", "I", "I", "I", "I", "I", "I", "I", "I", "I", "I", "I", "I", "I", "I", "I", "I", "I", "I", "I", "I", "I", "I", "I", "I", "I", "I", "I", "I", "I", "I", "I"], "frac_coords": [[0.750, 0.375, 0.125], [0.875, 0.750, 0.125], [0.375, 0.750, 0.625], [0.250, 0.125, 0.375], [0.875, 0.125, 0.250], [0.375, 0.625, 0.250], [0.625, 0.375, 0.750], [0.125, 0.875, 0.750], [0.750, 0.875, 0.625], [0.625, 0.250, 0.375], [0.125, 0.250, 0.875], [0.250, 0.625, 0.875], [0.125, 0.375, 0.250], [0.000, 0.500, 0.000], [0.000, 0.000, 0.000], [0.375, 0.250, 0.125], [0.500, 0.000, 0.500], [0.500, 0.500, 0.000], [0.125, 0.750, 0.375], [0.750, 0.125, 0.875], [0.750, 0.625, 0.375], [0.375, 0.125, 0.750], [0.625, 0.875, 0.250], [0.500, 0.500, 0.500], [0.500, 0.000, 0.000], [0.000, 0.000, 0.500], [0.250, 0.375, 0.625], [0.250, 0.875, 0.125], [0.000, 0.500, 0.500], [0.875, 0.250, 0.625], [0.625, 0.750, 0.875], [0.875, 0.625, 0.750], [0.605, 0.184, 0.965], [0.360, 0.465, 0.282], [0.035, 0.316, 0.395], [0.465, 0.105, 0.184], [0.422, 0.605, 0.640], [0.035, 0.718, 0.140], [0.360, 0.895, 0.578], [0.218, 0.078, 0.184], [0.718, 0.035, 0.640], [0.605, 0.422, 0.140], [0.895, 0.535, 0.316], [0.860, 0.782, 0.965], [0.184, 0.605, 0.465], [0.316, 0.282, 0.922], [0.922, 0.782, 0.316], [0.578, 0.184, 0.718], [0.922, 0.140, 0.105], [0.535, 0.640, 0.218], [0.860, 0.078, 0.395], [0.184, 0.578, 0.218], [0.316, 0.035, 0.895], [0.718, 0.684, 0.578], [0.782, 0.860, 0.465], [0.895, 0.360, 0.078], [0.282, 0.316, 0.422], [0.218, 0.140, 0.535], [0.105, 0.640, 0.922], [0.140, 0.922, 0.605], [0.684, 0.965, 0.105], [0.816, 0.422, 0.782], [0.465, 0.360, 0.782], [0.422, 0.816, 0.282], [0.078, 0.860, 0.895], [0.078, 0.218, 0.684], [0.816, 0.395, 0.535], [0.140, 0.218, 0.035], [0.684, 0.718, 0.078], [0.282, 0.965, 0.360], [0.395, 0.578, 0.860], [0.105, 0.465, 0.684], [0.782, 0.922, 0.816], [0.640, 0.105, 0.422], [0.535, 0.895, 0.816], [0.965, 0.282, 0.860], [0.578, 0.395, 0.360], [0.965, 0.684, 0.605], [0.640, 0.535, 0.718], [0.395, 0.816, 0.035]]}

***

(6)
{"formula": "Rb2LaI6", "functional": "PBE-GGA", "state": "optimized geometry", "magmom_total_mub_per_atom": 0.0000, "raw_formation_energy_ev_per_fu": -11.294, "volume_a3_per_atom": 49.05, "energy_ev_per_atom": -3.051, "cell": [[0.121, -5.722, -0.612], [4.623, -0.722, 7.674], [-9.670, 1.782, 0.730]], "species": ["Rb", "Rb", "La", "I", "I", "I", "I", "I", "I"], "frac_coords": [[0.348, 0.333, 0.665], [0.652, 0.667, 0.335], [0.000, 0.000, 0.000], [0.861, 0.078, 0.700], [0.139, 0.378, 0.300], [0.139, 0.922, 0.300], [0.500, 0.209, 0.000], [0.861, 0.622, 0.700], [0.500, 0.791, 0.000]]}

***

(7)
{"formula": "RbLaI3", "functional": "PBE-GGA", "state": "optimized geometry", "magmom_total_mub_per_atom": 0.1962, "raw_formation_energy_ev_per_fu": -7.028, "volume_a3_per_atom": 46.12, "energy_ev_per_atom": -3.515, "de_polymorph_ev_per_fu": 0.00, "cell": [[-1.743, -1.585, -3.813], [5.131, -7.416, 3.371], [-8.909, -0.908, 7.087]], "species": ["Rb", "Rb", "La", "La", "I", "I", "I", "I", "I", "I"], "frac_coords": [[0.930, 0.046, 0.897], [0.567, 0.500, 0.716], [0.619, 0.885, 0.437], [0.877, 0.661, 0.177], [0.865, 0.201, 0.612], [0.180, 0.808, 0.634], [0.101, 0.015, 0.270], [0.317, 0.738, 0.979], [0.395, 0.530, 0.344], [0.632, 0.345, 0.001]]}

***

(8)
{"formula": "RbLaI4", "functional": "PBE-GGA", "state": "optimized geometry", "magmom_total_mub_per_atom": 0.0000, "raw_formation_energy_ev_per_fu": -9.060, "volume_a3_per_atom": 66.20, "energy_ev_per_atom": -3.526, "de_polymorph_ev_per_fu": 0.00, "cell": [[8.155, -0.069, -1.407], [-2.652, 9.366, -4.755], [-0.051, -0.676, 10.812]], "species": ["Rb", "Rb", "La", "La", "I", "I", "I", "I", "I", "I", "I", "I"], "frac_coords": [[0.250, 0.772, 0.728], [0.750, 0.228, 0.272], [0.750, 0.933, 0.567], [0.250, 0.067, 0.433], [0.298, 0.993, 0.129], [0.202, 0.371, 0.507], [0.346, 0.772, 0.390], [0.654, 0.228, 0.610], [0.846, 0.890, 0.272], [0.798, 0.629, 0.493], [0.154, 0.110, 0.728], [0.702, 0.007, 0.871]]}